Entry 1:
This record from the Alexandria database describes YAgSb at its PBEsol-relaxed geometry. The functional is SCAN.

The structure belongs to space group F-43m (No. 216); the cell edges are 6.775, 6.775 and 6.775 Å and the angles 90.00°, 90.00° and 90.00°. The inequivalent atoms are Y at (0.000, 0.000, 0.000), Ag at (0.000, 0.000, 0.500) and Sb at (0.250, 0.250, 0.250).

The calculation puts the total magnetic moment at 0.000 μB/cell. For the calculated volume, the calculation gives 25.9 Å³ per atom. The value obtained for the raw formation energy is -0.4411 eV per atom. For the calculated total energy, the calculation gives -32.598 eV/atom.

***

Entry 2:
This record from the Alexandria database describes ZnAgSb2 at its PBEsol-relaxed geometry. The functional is SCAN.

The structure belongs to space group Pmm2 (No. 25); the cell edges are 3.083, 3.959 and 7.146 Å and the angles 90.00°, 90.00° and 90.00°. The inequivalent atoms are Zn at (0.000, 0.000, 0.000), Ag at (0.500, 0.500, 0.190), Sb at (0.000, 0.000, 0.407) and Sb at (0.500, 0.500, 0.785).

The calculation puts the total magnetic moment at 0.000 μB/cell. For the calculated volume, the calculation gives 21.8 Å³ per atom. The value obtained for the raw formation energy is 0.1495 eV per atom. For the calculated total energy, the calculation gives -29.701 eV/atom.

***

Entry 3:
This record from the Alexandria database describes ZnAgSb3 at its PBEsol-relaxed geometry. The functional is SCAN.

The structure belongs to space group Pm-3m (No. 221); the cell edges are 5.275, 5.275 and 5.275 Å and the angles 90.00°, 90.00° and 90.00°. The inequivalent atoms are Zn at (0.000, 0.000, 0.000), Ag at (0.500, 0.500, 0.500) and Sb at (0.000, 0.500, 0.500).

The calculation puts the total magnetic moment at 0.000 μB/cell. For the calculated volume, the calculation gives 29.4 Å³ per atom. The value obtained for the raw formation energy is 0.8615 eV per atom. For the calculated total energy, the calculation gives -30.471 eV/atom.

***

Entry 4:
This record from the Alexandria database describes ZnAgSb2 at its PBEsol-relaxed geometry. The functional is SCAN.

The structure belongs to space group I4/mmm (No. 139); the cell edges are 4.611, 4.611 and 8.010 Å and the angles 90.00°, 90.00° and 90.00°. The inequivalent atoms are Zn at (0.000, 0.000, 0.000), Ag at (0.000, 0.000, 0.500) and Sb at (0.000, 0.500, 0.250).

The calculation puts the total magnetic moment at 0.000 μB/cell. For the calculated volume, the calculation gives 21.3 Å³ per atom. The value obtained for the raw formation energy is 0.2654 eV per atom. For the calculated total energy, the calculation gives -29.586 eV/atom.